# 1
Computed, not measured: a relaxed structure of UMn2FeP2 at the PBE-GGA level of DFT.

The space group is Pmc2_1 (No. 26) and the conventional cell measures 3.760, 6.146 and 7.156 Å, with angles of 90.00, 90.00 and 90.00 degrees. The distinct sites, in fractional coordinates, are U at (0.000, 0.137, 0.000), Mn at (0.000, 0.338, 0.631), Mn at (0.500, 0.436, 0.889), Fe at (0.500, 0.162, 0.385), P at (0.000, 0.368, 0.323) and P at (0.500, 0.136, 0.699).

The calculation puts the formation energy at -313 kJ/mol of formula units.

---

# 2
Computed, not measured: a relaxed structure of YMnFeP2 at the PBE-GGA level of DFT.

The space group is I-4m2 (No. 119) and the conventional cell measures 3.870, 3.870 and 9.470 Å, with angles of 90.00, 90.00 and 90.00 degrees. The distinct sites, in fractional coordinates, are Y at (0.000, 0.000, 0.000), Mn at (0.000, 0.500, 0.750), Fe at (0.000, 0.500, 0.250) and P at (0.000, 0.000, 0.364).

The calculation puts the formation energy at -467 kJ/mol of formula units.

---

# 3
Computed, not measured: a relaxed structure of ZrMnFeP2 at the PBE-GGA level of DFT.

The space group is I-4m2 (No. 119) and the conventional cell measures 3.793, 3.793 and 9.112 Å, with angles of 90.00, 90.00 and 90.00 degrees. The distinct sites, in fractional coordinates, are Zr at (0.000, 0.000, 0.000), Mn at (0.000, 0.500, 0.250), Fe at (0.000, 0.500, 0.750) and P at (0.000, 0.000, 0.372).

The calculation puts the formation energy at -422 kJ/mol of formula units.

---

# 4
Computed, not measured: a relaxed structure of PaMnFe at the PBE-GGA level of DFT.

The space group is Imma (No. 74) and the conventional cell measures 4.545, 5.298 and 7.464 Å, with angles of 90.00, 90.00 and 90.00 degrees. The distinct sites, in fractional coordinates, are Pa at (0.000, 0.250, 0.124), Mn at (0.250, 0.250, 0.750) and Fe at (0.000, 0.000, 0.500).

The calculation puts the formation energy at -45 kJ/mol of formula units. The energy above the most stable polymorph in this dataset is 0.000 eV/atom.